Record 1
# Li4Ag3Pd4

A geometry-optimized Li4Ag3Pd4 structure (GGA-PBE, the Alexandria database).

The structure in POSCAR format:
```
Li4Ag3Pd4
1.0
-1.406 4.164 7.782
1.406 -4.164 7.782
1.406 4.164 -7.782
Li Ag Pd
4 3 4
Cartesian
1.406 -2.385 5.306
0.000 1.778 2.475
1.406 2.385 5.306
0.000 6.549 2.475
1.406 0.000 0.000
0.000 0.000 6.155
0.000 0.000 9.409
1.406 0.000 3.770
0.000 2.369 0.000
0.000 5.958 0.000
0.000 4.164 4.011
```

## Properties
As for the magnetization: 0.00 μB/cell. Its density of states at the Fermi level is 0.243 states/eV per atom. For the volume, the calculation gives 16.570 A^3/atom. The value obtained for the formation energy is -18.2 kJ per mole of atoms. As for the space group: No. 71. The crystal system is orthorhombic.

Record 2
# K2CdCu

A geometry-optimized K2CdCu structure (GGA-PBE, the Alexandria database).

The structure in POSCAR format:
```
K2CdCu
1.0
2.233 1.289 9.669
-2.233 1.289 9.669
0.000 -2.579 9.669
K Cd Cu
2 1 1
Cartesian
0.000 0.000 6.919
0.000 0.000 22.089
0.000 0.000 0.000
0.000 0.000 14.504
```

## Properties
As for the magnetization: 0.25 μB/cell. Its density of states at the Fermi level is 0.689 states/eV per atom. For the volume, the calculation gives 41.758 A^3/atom. The value obtained for the formation energy is 31.1 kJ per mole of atoms. As for the space group: No. 166. The crystal system is trigonal.

Record 3
# Mn2NbRe2

A geometry-optimized Mn2NbRe2 structure (GGA-PBE, the Alexandria database).

The structure in POSCAR format:
```
Mn2NbRe2
1.0
7.143 0.000 0.000
0.000 7.143 0.000
0.000 0.000 2.775
Mn Nb Re
4 2 4
Cartesian
0.942 2.630 0.000
2.630 6.201 0.000
4.514 0.942 0.000
6.201 4.514 0.000
0.000 0.000 0.000
3.572 3.572 0.000
1.176 4.748 1.387
2.396 1.176 1.387
4.748 5.967 1.387
5.967 2.396 1.387
```

## Properties
As for the magnetization: 0.02 μB/cell. Its density of states at the Fermi level is 1.223 states/eV per atom. For the volume, the calculation gives 14.159 A^3/atom. The value obtained for the formation energy is 7.9 kJ per mole of atoms. As for the space group: No. 127. The crystal system is tetragonal.

Record 4
# CaCdCl2

A geometry-optimized CaCdCl2 structure (GGA-PBE, the Alexandria database).

The structure in POSCAR format:
```
CaCdCl2
1.0
3.475 -3.470 0.000
3.475 3.470 0.000
-0.017 0.000 4.156
Ca Cd Cl
1 1 2
Cartesian
0.000 0.000 0.000
3.475 0.000 0.000
1.729 1.735 2.078
1.729 -1.735 2.078
```

## Properties
As for the magnetization: 0.00 μB/cell. Its density of states at the Fermi level is 0.067 states/eV per atom. For the volume, the calculation gives 25.057 A^3/atom. As for the space group: No. 12. The value obtained for the uncorrected formation energy is -1.183 eV per atom. The crystal system is monoclinic.

Record 5
# IrRu2Au

A geometry-optimized IrRu2Au structure (GGA-PBE, the Alexandria database).

The structure in POSCAR format:
```
IrRu2Au
1.0
-1.940 1.940 3.974
1.940 -1.940 3.974
1.940 1.940 -3.974
Ir Ru Au
1 2 1
Cartesian
0.000 0.000 0.000
1.940 0.000 1.987
0.000 0.000 3.974
0.000 1.940 1.987
```

## Properties
As for the magnetization: 0.00 μB/cell. Its density of states at the Fermi level is 1.212 states/eV per atom. For the volume, the calculation gives 14.951 A^3/atom. The value obtained for the formation energy is 32.2 kJ per mole of atoms. As for the space group: No. 119. The crystal system is tetragonal.

Record 6
# Dy2Ga3Ru

A geometry-optimized Dy2Ga3Ru structure (GGA-PBE, the Alexandria database).

The structure in POSCAR format:
```
Dy2Ga3Ru
1.0
-2.284 2.705 5.105
2.284 -2.705 5.105
2.284 2.705 -5.105
Dy Ga Ru
2 3 1
Cartesian
0.000 0.000 2.040
0.000 0.000 8.171
2.284 0.000 0.000
2.284 0.000 3.857
0.000 2.705 1.248
0.000 0.000 5.105
```

## Properties
As for the magnetization: 0.00 μB/cell. Its density of states at the Fermi level is 0.806 states/eV per atom. For the volume, the calculation gives 21.030 A^3/atom. The value obtained for the formation energy is -27.9 kJ per mole of atoms. As for the space group: No. 71. The crystal system is orthorhombic.

Record 7
# HgRuPb2

A geometry-optimized HgRuPb2 structure (GGA-PBE, the Alexandria database).

The structure in POSCAR format:
```
HgRuPb2
1.0
2.344 -2.348 0.000
2.344 2.348 0.000
0.000 0.000 9.108
Hg Ru Pb
1 1 2
Cartesian
0.000 0.000 0.000
0.000 0.000 4.554
2.344 0.000 2.819
2.344 0.000 6.288
```

## Properties
As for the magnetization: 0.00 μB/cell. Its density of states at the Fermi level is 0.556 states/eV per atom. For the volume, the calculation gives 25.061 A^3/atom. The value obtained for the formation energy is 22.0 kJ per mole of atoms. As for the space group: No. 65. The crystal system is orthorhombic.

Record 8
# ReIr3

A geometry-optimized ReIr3 structure (GGA-PBE, the Alexandria database).

The structure in POSCAR format:
```
ReIr3
1.0
3.745 -3.756 0.000
3.745 3.756 0.000
0.000 0.000 4.492
Re Ir
2 6
Cartesian
3.745 3.117 3.369
3.745 -3.117 1.123
2.484 1.878 1.123
3.745 0.628 3.369
5.006 1.878 1.123
2.484 -1.878 3.369
3.745 -0.628 1.123
5.006 -1.878 3.369
```

## Properties
As for the magnetization: 0.00 μB/cell. Its density of states at the Fermi level is 0.826 states/eV per atom. For the volume, the calculation gives 15.798 A^3/atom. The value obtained for the formation energy is 22.9 kJ per mole of atoms. As for the space group: No. 63. The crystal system is orthorhombic.

Record 9
# La2YBPb

A geometry-optimized La2YBPb structure (GGA-PBE, the Alexandria database).

The structure in POSCAR format:
```
La2YBPb
1.0
5.301 0.000 0.000
0.000 5.301 0.000
0.000 0.000 5.153
La Y B Pb
2 1 1 1
Cartesian
0.000 2.650 0.000
2.650 0.000 0.000
0.000 0.000 2.577
0.000 0.000 0.000
2.650 2.650 2.577
```

## Properties
As for the magnetization: 0.00 μB/cell. Its density of states at the Fermi level is 0.405 states/eV per atom. For the volume, the calculation gives 28.961 A^3/atom. The value obtained for the formation energy is -32.3 kJ per mole of atoms. As for the space group: No. 123. The crystal system is tetragonal.

Record 10
# HfNbAsRu2

A geometry-optimized HfNbAsRu2 structure (GGA-PBE, the Alexandria database).

The structure in POSCAR format:
```
HfNbAsRu2
1.0
4.683 0.000 0.000
0.000 4.683 0.000
0.000 0.000 4.896
Hf Nb As Ru
1 1 1 2
Cartesian
0.000 0.000 0.000
2.342 2.342 2.448
0.000 0.000 2.448
0.000 2.342 0.000
2.342 0.000 0.000
```

## Properties
As for the magnetization: 0.00 μB/cell. Its density of states at the Fermi level is 1.453 states/eV per atom. For the volume, the calculation gives 21.475 A^3/atom. The value obtained for the formation energy is 128.4 kJ per mole of atoms. As for the space group: No. 123. The crystal system is tetragonal.

Record 11
# Ca2NpTaN4

A geometry-optimized Ca2NpTaN4 structure (GGA-PBE, the Alexandria database).

The structure in POSCAR format:
```
Ca2NpTaN4
1.0
5.766 0.000 0.000
0.000 3.323 0.000
-1.870 0.000 5.617
Ca Np Ta N
2 1 1 4
Cartesian
0.000 0.000 0.000
2.883 1.662 0.000
-0.935 1.662 2.808
1.948 0.000 2.808
0.132 0.000 4.011
1.031 1.662 1.627
2.865 1.662 3.989
3.764 0.000 1.606
```

## Properties
As for the magnetization: 2.93 μB/cell. Its density of states at the Fermi level is 0.825 states/eV per atom. For the volume, the calculation gives 13.453 A^3/atom. As for the space group: No. 10. The value obtained for the uncorrected formation energy is -1.194 eV per atom. The crystal system is monoclinic.

Record 12
# TbGdThZr

A geometry-optimized TbGdThZr structure (GGA-PBE, the Alexandria database).

The structure in POSCAR format:
```
TbGdThZr
1.0
0.000 3.887 3.887
3.887 0.000 3.887
3.887 3.887 0.000
Tb Gd Th Zr
1 1 1 1
Cartesian
0.000 0.000 0.000
5.831 5.831 5.831
1.944 1.944 1.944
3.887 3.887 3.887
```

## Properties
As for the magnetization: 7.89 μB/cell. Its density of states at the Fermi level is 1.809 states/eV per atom. For the volume, the calculation gives 29.372 A^3/atom. The value obtained for the formation energy is 16.6 kJ per mole of atoms. As for the space group: No. 216. The crystal system is cubic.